# 1
## HfScCr3 (GGA-PBE)

Data for a geometry-optimized HfScCr3 structure.

a = 4.742 Å, b = 4.742 Å, c = 4.742 Å
α = 90.00°, β = 90.00°, γ = 90.00°
Site moments in Bohr magnetons follow the coordinates.
Fractional coordinates of all 5 atoms:
Sc: 0.500 0.500 0.500  -0.05
Cr: 0.000 0.500 0.000  2.81
Cr: 0.000 0.000 0.500  2.44
Cr: 0.500 0.000 0.000  3.11
Hf: 0.000 0.000 0.000  -0.14

Summary:
DFT formation energy (eV per formula unit): 6.758
Symmetry: No. 221
E above lowest polymorph (meV/atom): 0
Total moment (μB per cell): 8.76
N(E_F) (states/eV/cell): 4.20



# 2
## BeHg2Cl (GGA-PBE)

Data for a geometry-optimized BeHg2Cl structure.

a = 5.057 Å, b = 5.057 Å, c = 5.057 Å
α = 60.00°, β = 60.00°, γ = 60.00°
Fractional coordinates of all 4 atoms:
Be: 0.000 0.000 0.000
Hg: 0.250 0.250 0.250
Hg: 0.750 0.750 0.750
Cl: 0.500 0.500 0.500

Summary:
Symmetry: No. 225
Formation energy (no corrections) (eV per formula unit): 2.0
E above lowest polymorph (meV/atom): 700
Total moment (μB per cell): 0.00
N(E_F) (states/eV/cell): 1.89



# 3
## LiFe6Pd12 (GGA-PBE)

Data for a geometry-optimized LiFe6Pd12 structure.

a = 6.714 Å, b = 6.714 Å, c = 6.714 Å
α = 100.25°, β = 100.25°, γ = 100.25°
Site moments in Bohr magnetons follow the coordinates.
Fractional coordinates of all 19 atoms:
Li: 0.000 0.000 0.000  -0.02
Fe: 0.500 0.755 0.245  3.12
Fe: 0.755 0.500 0.245  3.12
Fe: 0.245 0.755 0.500  3.12
Fe: 0.500 0.245 0.755  3.12
Fe: 0.245 0.500 0.755  3.12
Fe: 0.755 0.245 0.500  3.12
Pd: 0.917 0.644 0.645  0.31
Pd: 0.645 0.917 0.644  0.31
Pd: 0.644 0.645 0.917  0.31
Pd: 0.083 0.356 0.355  0.31
Pd: 0.355 0.083 0.356  0.31
Pd: 0.356 0.355 0.083  0.31
Pd: 0.889 0.889 0.328  0.28
Pd: 0.111 0.672 0.111  0.28
Pd: 0.672 0.111 0.111  0.28
Pd: 0.111 0.111 0.672  0.28
Pd: 0.889 0.328 0.889  0.28
Pd: 0.328 0.889 0.889  0.28

Summary:
DFT formation energy (eV per formula unit): -0.066
Symmetry: No. 166
E above lowest polymorph (meV/atom): 99
Total moment (μB per cell): 22.20
N(E_F) (states/eV/cell): 15.10



# 4
## SrHgP2 (GGA-PBE)

Data for a geometry-optimized SrHgP2 structure.

a = 6.538 Å, b = 6.538 Å, c = 6.538 Å
α = 38.38°, β = 38.38°, γ = 38.38°
Site moments in Bohr magnetons follow the coordinates.
Fractional coordinates of all 4 atoms:
Hg: 0.750 0.750 0.750  0.03
P: 0.014 0.014 0.014  0.19
P: 0.486 0.486 0.486  0.19
Sr: 0.250 0.250 0.250  0.04

Summary:
DFT formation energy (eV per formula unit): -0.189
Symmetry: No. 166
Total moment (μB per cell): 0.88
N(E_F) (states/eV/cell): 4.42



# 5
## Rb2Sb4Pt3 (GGA-PBE)

Data for a geometry-optimized Rb2Sb4Pt3 structure.

a = 6.757 Å, b = 6.757 Å, c = 7.527 Å
α = 103.13°, β = 103.13°, γ = 119.60°
Fractional coordinates of all 9 atoms:
Rb: 0.631 0.631 0.263
Rb: 0.369 0.369 0.737
Sb: 0.037 0.693 0.730
Sb: 0.693 0.037 0.730
Sb: 0.963 0.307 0.270
Sb: 0.307 0.963 0.270
Pt: 0.500 0.000 0.000
Pt: 0.000 0.000 0.000
Pt: 0.000 0.500 0.000

Summary:
Symmetry: No. 69
Formation energy (no corrections) (eV per formula unit): -3.4
Total moment (μB per cell): 0.00
N(E_F) (states/eV/cell): 4.43



# 6
## KEuAlBiO6 (GGA-PBE)

Data for a geometry-optimized KEuAlBiO6 structure.

a = 5.678 Å, b = 5.678 Å, c = 5.678 Å
α = 60.00°, β = 60.00°, γ = 60.00°
Site moments in Bohr magnetons follow the coordinates.
Fractional coordinates of all 10 atoms:
K: 0.750 0.750 0.750  0.00
Eu: 0.250 0.250 0.250  6.52
Al: 0.000 0.000 0.000  0.00
Bi: 0.500 0.500 0.500  0.01
O: 0.238 0.762 0.238  -0.09
O: 0.762 0.238 0.762  -0.09
O: 0.238 0.762 0.762  -0.09
O: 0.762 0.238 0.238  -0.09
O: 0.238 0.238 0.762  -0.09
O: 0.762 0.762 0.238  -0.09

Summary:
Symmetry: No. 216
Formation energy (no corrections) (eV per formula unit): -18.4
Total moment (μB per cell): 6.01
N(E_F) (states/eV/cell): 9.92



# 7
## HoHfCdAu (GGA-PBE)

Data for a geometry-optimized HoHfCdAu structure.

a = 5.013 Å, b = 5.013 Å, c = 5.013 Å
α = 60.00°, β = 60.00°, γ = 60.00°
Site moments in Bohr magnetons follow the coordinates.
Fractional coordinates of all 4 atoms:
Hf: 0.000 0.000 0.000  0.34
Au: 0.250 0.250 0.250  0.03
Ho: 0.500 0.500 0.500  0.20
Cd: 0.750 0.750 0.750  0.00

Summary:
DFT formation energy (eV per formula unit): -1.136
Symmetry: No. 216
Total moment (μB per cell): 0.77
N(E_F) (states/eV/cell): 3.27



# 8
## Th2In2Se7 (GGA-PBE)

Data for a geometry-optimized Th2In2Se7 structure.

a = 6.977 Å, b = 7.504 Å, c = 7.504 Å
α = 102.17°, β = 97.26°, γ = 97.26°
Fractional coordinates of all 11 atoms:
Th: 0.000 0.302 0.698
Th: 0.000 0.698 0.302
In: 0.402 0.243 0.243
In: 0.598 0.757 0.757
Se: 0.774 0.932 0.543
Se: 0.226 0.457 0.068
Se: 0.226 0.068 0.457
Se: 0.774 0.543 0.932
Se: 0.500 0.000 0.000
Se: 0.246 0.580 0.580
Se: 0.754 0.420 0.420

Summary:
Symmetry: No. 12
Formation energy (no corrections) (eV per formula unit): -10.7
Total moment (μB per cell): 0.08



# 9
## NaSnGe2Br8 (GGA-PBE)

Data for a geometry-optimized NaSnGe2Br8 structure.

a = 7.025 Å, b = 6.708 Å, c = 8.499 Å
α = 89.17°, β = 88.80°, γ = 87.23°
Fractional coordinates of all 12 atoms:
Na: 0.000 0.000 0.500
Sn: 0.000 0.000 0.000
Ge: 0.467 0.462 0.745
Ge: 0.533 0.538 0.255
Br: 0.188 0.776 0.237
Br: 0.685 0.744 0.021
Br: 0.832 0.243 0.239
Br: 0.812 0.224 0.763
Br: 0.315 0.256 0.979
Br: 0.168 0.757 0.761
Br: 0.663 0.718 0.484
Br: 0.337 0.282 0.516

Summary:
Symmetry: No. 2
Formation energy (no corrections) (eV per formula unit): -8.7
Total moment (μB per cell): 0.00
N(E_F) (states/eV/cell): 3.56



# 10
## NdAgPtPb (GGA-PBE)

Data for a geometry-optimized NdAgPtPb structure.

a = 5.058 Å, b = 5.058 Å, c = 5.058 Å
α = 60.00°, β = 60.00°, γ = 60.00°
Fractional coordinates of all 4 atoms:
Pb: 0.500 0.500 0.500
Nd: 0.000 0.000 0.000
Ag: 0.250 0.250 0.250
Pt: 0.750 0.750 0.750

Summary:
DFT formation energy (eV per formula unit): -1.997
Symmetry: No. 216
Total moment (μB per cell): 0.00
N(E_F) (states/eV/cell): 3.14



# 11
## PrTmZn3 (GGA-PBE)

Data for a geometry-optimized PrTmZn3 structure.

a = 4.691 Å, b = 6.183 Å, c = 8.856 Å
α = 111.07°, β = 105.36°, γ = 90.00°
Fractional coordinates of all 10 atoms:
Pr: 0.422 0.678 0.845
Pr: 0.578 0.322 0.155
Tm: 0.202 0.777 0.403
Tm: 0.798 0.223 0.597
Zn: 0.936 0.057 0.873
Zn: 0.064 0.943 0.127
Zn: 0.622 0.870 0.243
Zn: 0.378 0.130 0.757
Zn: 0.784 0.681 0.569
Zn: 0.216 0.319 0.431

Summary:
DFT formation energy (eV per formula unit): -1.244
Symmetry: No. 12
Total moment (μB per cell): 0.00
N(E_F) (states/eV/cell): 8.01



# 12
## TaRe2As2 (GGA-PBE)

Data for a geometry-optimized TaRe2As2 structure.

a = 7.211 Å, b = 7.211 Å, c = 3.121 Å
α = 90.00°, β = 90.00°, γ = 90.00°
Fractional coordinates of all 10 atoms:
Re: 0.359 0.859 0.000
Re: 0.859 0.641 0.000
Re: 0.641 0.141 0.000
Re: 0.141 0.359 0.000
As: 0.161 0.661 0.500
As: 0.661 0.839 0.500
As: 0.839 0.339 0.500
As: 0.339 0.161 0.500
Ta: 0.000 0.000 0.000
Ta: 0.500 0.500 0.000

Summary:
DFT formation energy (eV per formula unit): 2.083
Symmetry: No. 127
E above lowest polymorph (meV/atom): 0
Total moment (μB per cell): 0.00
N(E_F) (states/eV/cell): 5.92



Question: Which of these has the highest total moment?
Answer: LiFe6Pd12